No. 1
Entry from the Alexandria database: crystalline CdSbH2Ir at its relaxed geometry (GGA-PBEsol).

## Properties
Space-group type: P4/mmm
Energy in eV per formula unit: -19.9
Total moment in μB per formula unit: 0.00

Lattice parameters (Å, degrees): 3.813 3.813 5.264 90.00 90.00 90.00
Fractional positions:
Sb (0.000, 0.000, 0.000)
Ir (0.000, 0.000, 0.500)
H (0.000, 0.500, 0.000)
H (0.500, 0.000, 0.000)
Cd (0.500, 0.500, 0.500)

No. 2
Entry from the Alexandria database: crystalline KCd2H at its relaxed geometry (GGA-PBEsol).

## Properties
Space-group type: Fm-3m
Energy in eV per formula unit: -4.7
Total moment in μB per formula unit: 0.00

Lattice parameters (Å, degrees): 5.265 5.265 5.265 60.00 60.00 60.00
Fractional positions:
H (0.000, 0.000, 0.000)
K (0.500, 0.500, 0.500)
Cd (0.250, 0.250, 0.250)
Cd (0.750, 0.750, 0.750)

No. 3
Entry from the Alexandria database: crystalline K3CdH at its relaxed geometry (GGA-PBEsol).

## Properties
Space-group type: Pm-3m
Relative energy among the computed polymorphs in meV/atom: 0.0
Energy in eV per formula unit: -7.9
Total moment in μB per formula unit: 0.00

Lattice parameters (Å, degrees): 5.511 5.511 5.511 90.00 90.00 90.00
Fractional positions:
H (0.000, 0.000, 0.000)
K (0.000, 0.500, 0.000)
K (0.000, 0.000, 0.500)
K (0.500, 0.000, 0.000)
Cd (0.500, 0.500, 0.500)

No. 4
Entry from the Alexandria database: crystalline K2CdH4Se2O10 at its relaxed geometry (GGA-PBEsol).

## Properties
Space-group type: P-1
Energy in eV per formula unit: -98.6
Total moment in μB per formula unit: 0.00

Lattice parameters (Å, degrees): 6.513 7.599 11.550 71.89 74.98 68.38
Fractional positions:
K (0.815, 0.751, 0.403)
K (0.185, 0.249, 0.597)
K (0.725, 0.256, 0.079)
K (0.275, 0.744, 0.921)
Cd (0.747, 0.976, 0.746)
Cd (0.253, 0.024, 0.254)
H (0.669, 0.385, 0.666)
H (0.331, 0.615, 0.334)
H (0.643, 0.307, 0.809)
H (0.357, 0.693, 0.191)
H (0.639, 0.672, 0.706)
H (0.361, 0.328, 0.294)
H (0.827, 0.578, 0.798)
H (0.173, 0.422, 0.202)
Se (0.747, 0.761, 0.082)
Se (0.253, 0.239, 0.918)
Se (0.731, 0.232, 0.424)
Se (0.269, 0.768, 0.576)
O (0.986, 0.596, 0.117)
O (0.014, 0.404, 0.883)
O (0.566, 0.656, 0.078)
O (0.434, 0.344, 0.922)
O (0.805, 0.913, 0.947)
O (0.195, 0.087, 0.053)
O (0.637, 0.894, 0.189)
O (0.363, 0.106, 0.811)
O (0.866, 0.358, 0.449)
O (0.134, 0.642, 0.551)
O (0.478, 0.371, 0.389)
O (0.522, 0.629, 0.611)
O (0.689, 0.053, 0.547)
O (0.311, 0.947, 0.453)
O (0.870, 0.126, 0.306)
O (0.130, 0.874, 0.694)
O (0.751, 0.281, 0.731)
O (0.249, 0.719, 0.269)
O (0.692, 0.691, 0.775)
O (0.308, 0.309, 0.225)

No. 5
Entry from the Alexandria database: crystalline La3CdH at its relaxed geometry (GGA-PBEsol).

## Properties
Space-group type: Pm-3m
Energy in eV per formula unit: -21.8
Total moment in μB per formula unit: 0.00

Lattice parameters (Å, degrees): 5.009 5.009 5.009 90.00 90.00 90.00
Fractional positions:
H (0.000, 0.000, 0.000)
Cd (0.500, 0.500, 0.500)
La (0.000, 0.500, 0.000)
La (0.000, 0.000, 0.500)
La (0.500, 0.000, 0.000)

No. 6
Entry from the Alexandria database: crystalline Li2CdH2 at its relaxed geometry (GGA-PBEsol).

## Properties
Space-group type: P4/mbm
Energy in eV per formula unit: -11.0
Total moment in μB per formula unit: 0.00

Lattice parameters (Å, degrees): 2.679 6.965 6.965 90.00 90.00 90.00
Fractional positions:
H (0.500, 0.114, 0.614)
H (0.500, 0.614, 0.886)
H (0.500, 0.886, 0.386)
H (0.500, 0.386, 0.114)
Li (0.000, 0.386, 0.886)
Li (0.000, 0.886, 0.614)
Li (0.000, 0.614, 0.114)
Li (0.000, 0.114, 0.386)
Cd (0.000, 0.000, 0.000)
Cd (0.000, 0.500, 0.500)

No. 7
Entry from the Alexandria database: crystalline LiCd2H at its relaxed geometry (GGA-PBEsol).

## Properties
Space-group type: I-42d
Energy in eV per formula unit: -7.3
Total moment in μB per formula unit: 0.00

Lattice parameters (Å, degrees): 5.161 5.610 5.610 77.79 62.62 62.62
Fractional positions:
H (0.250, 0.500, 0.500)
H (0.500, 0.000, 0.000)
Li (0.750, 0.500, 0.500)
Li (0.000, 0.000, 0.000)
Cd (0.206, 0.919, 0.419)
Cd (0.544, 0.081, 0.581)
Cd (0.375, 0.419, 0.081)
Cd (0.875, 0.581, 0.919)

No. 8
Entry from the Alexandria database: crystalline LiCdH2S at its relaxed geometry (GGA-PBEsol).

## Properties
Space-group type: P4/mmm
Energy in eV per formula unit: -13.1
Total moment in μB per formula unit: 0.00

Lattice parameters (Å, degrees): 3.650 3.650 5.025 90.00 90.00 90.00
Fractional positions:
H (0.000, 0.500, 0.000)
H (0.500, 0.000, 0.000)
S (0.000, 0.000, 0.500)
Li (0.000, 0.000, 0.000)
Cd (0.500, 0.500, 0.500)

No. 9
Entry from the Alexandria database: crystalline Sr2LiCdH at its relaxed geometry (GGA-PBEsol).

## Properties
Space-group type: P4/mmm
Energy in eV per formula unit: -11.6
Total moment in μB per formula unit: 0.00

Lattice parameters (Å, degrees): 4.140 5.457 5.457 90.00 90.00 90.00
Fractional positions:
Sr (0.000, 0.000, 0.500)
Sr (0.000, 0.500, 0.000)
Cd (0.500, 0.500, 0.500)
H (0.000, 0.000, 0.000)
Li (0.500, 0.000, 0.000)

No. 10
Entry from the Alexandria database: crystalline Mg2CdH2 at its relaxed geometry (GGA-PBEsol).

## Properties
Space-group type: I4/mmm
Energy in eV per formula unit: -11.7
Total moment in μB per formula unit: 0.00

Lattice parameters (Å, degrees): 3.210 3.210 7.043 103.17 103.17 90.00
Fractional positions:
H (0.250, 0.750, 0.500)
H (0.750, 0.250, 0.500)
Mg (0.338, 0.338, 0.677)
Mg (0.662, 0.662, 0.323)
Cd (0.000, 0.000, 0.000)

No. 11
Entry from the Alexandria database: crystalline Mg2CdH at its relaxed geometry (GGA-PBEsol).

## Properties
Space-group type: Fm-3m
Energy in eV per formula unit: -6.7
Total moment in μB per formula unit: 0.00

Lattice parameters (Å, degrees): 4.668 4.668 4.668 60.00 60.00 60.00
Fractional positions:
H (0.000, 0.000, 0.000)
Mg (0.250, 0.250, 0.250)
Mg (0.750, 0.750, 0.750)
Cd (0.500, 0.500, 0.500)

No. 12
Entry from the Alexandria database: crystalline MgCdH2O at its relaxed geometry (GGA-PBEsol).

## Properties
Space-group type: P4/mmm
Energy in eV per formula unit: -15.8
Total moment in μB per formula unit: 0.00

Lattice parameters (Å, degrees): 3.289 3.289 6.743 90.00 90.00 90.00
Fractional positions:
H (0.000, 0.500, 0.000)
H (0.500, 0.000, 0.000)
Mg (0.000, 0.000, 0.500)
O (0.500, 0.500, 0.500)
Cd (0.000, 0.000, 0.000)

No. 13
Entry from the Alexandria database: crystalline Mg2CdHS at its relaxed geometry (GGA-PBEsol).

## Properties
Space-group type: P4/mmm
Energy in eV per formula unit: -12.0
Total moment in μB per formula unit: 0.00

Lattice parameters (Å, degrees): 3.863 4.638 4.638 90.00 90.00 90.00
Fractional positions:
H (0.000, 0.000, 0.000)
S (0.500, 0.000, 0.000)
Mg (0.000, 0.000, 0.500)
Mg (0.000, 0.500, 0.000)
Cd (0.500, 0.500, 0.500)

No. 14
Entry from the Alexandria database: crystalline Mg2CdHW at its relaxed geometry (GGA-PBEsol).

## Properties
Space-group type: P4/mmm
Energy in eV per formula unit: -12.7
Total moment in μB per formula unit: 3.50

Lattice parameters (Å, degrees): 5.149 5.149 5.196 90.00 90.00 90.00
Site moments in Bohr magnetons follow the coordinates.
Fractional positions:
H (0.500, 0.500, 0.500)  -0.10
Mg (0.000, 0.500, 0.000)  -0.02
Mg (0.500, 0.000, 0.000)  -0.02
W (0.000, 0.000, 0.500)  2.72
Cd (0.000, 0.000, 0.000)  0.02

No. 15
Entry from the Alexandria database: crystalline MnCdH2 at its relaxed geometry (GGA-PBEsol).

## Properties
Space-group type: I-42d
Energy in eV per formula unit: -16.6
Total moment in μB per formula unit: 2.59

Lattice parameters (Å, degrees): 4.291 4.291 5.249 114.12 114.12 90.00
Site moments in Bohr magnetons follow the coordinates.
Fractional positions:
H (0.776, 0.375, 0.250)  -0.02
H (0.474, 0.875, 0.250)  -0.02
H (0.625, 0.526, 0.750)  -0.02
H (0.125, 0.224, 0.750)  -0.02
Mn (0.750, 0.250, 0.500)  2.66
Mn (0.500, 0.500, 0.000)  2.66
Cd (0.250, 0.750, 0.500)  -0.06
Cd (0.000, 0.000, 0.000)  -0.06

No. 16
Entry from the Alexandria database: crystalline MnCd3H at its relaxed geometry (GGA-PBEsol).

## Properties
Space-group type: Pm-3m
Energy in eV per formula unit: -11.3
Total moment in μB per formula unit: 4.47

Lattice parameters (Å, degrees): 5.129 5.129 5.129 90.00 90.00 90.00
Site moments in Bohr magnetons follow the coordinates.
Fractional positions:
H (0.500, 0.500, 0.500)  0.24
Mn (0.000, 0.000, 0.000)  3.52
Cd (0.000, 0.500, 0.000)  0.02
Cd (0.000, 0.000, 0.500)  0.02
Cd (0.500, 0.000, 0.000)  0.02

No. 17
Entry from the Alexandria database: crystalline Cd3MoH at its relaxed geometry (GGA-PBEsol).

## Properties
Space-group type: Pm-3m
Energy in eV per formula unit: -10.9
Total moment in μB per formula unit: 4.17

Lattice parameters (Å, degrees): 5.406 5.406 5.406 90.00 90.00 90.00
Site moments in Bohr magnetons follow the coordinates.
Fractional positions:
H (0.500, 0.500, 0.500)  0.29
Mo (0.000, 0.000, 0.000)  2.71
Cd (0.000, 0.500, 0.000)  0.06
Cd (0.000, 0.000, 0.500)  0.06
Cd (0.500, 0.000, 0.000)  0.06

No. 18
Entry from the Alexandria database: crystalline CdH2N at its relaxed geometry (GGA-PBEsol).

## Properties
Space-group type: Fm-3m
Energy in eV per formula unit: -10.9
Total moment in μB per formula unit: 0.39

Lattice parameters (Å, degrees): 3.580 3.580 3.580 60.00 60.00 60.00
Site moments in Bohr magnetons follow the coordinates.
Fractional positions:
H (0.250, 0.250, 0.250)  0.07
H (0.750, 0.750, 0.750)  0.07
Cd (0.500, 0.500, 0.500)  0.06
N (0.000, 0.000, 0.000)  0.03

No. 19
Entry from the Alexandria database: crystalline Cd2HN at its relaxed geometry (GGA-PBEsol).

## Properties
Space-group type: I-42d
Energy in eV per formula unit: -12.3
Total moment in μB per formula unit: 0.00

Lattice parameters (Å, degrees): 4.724 4.724 6.337 111.88 111.88 90.00
Fractional positions:
H (0.750, 0.250, 0.500)
H (0.500, 0.500, 0.000)
N (0.250, 0.750, 0.500)
N (0.000, 0.000, 0.000)
Cd (0.376, 0.875, 0.250)
Cd (0.874, 0.375, 0.250)
Cd (0.125, 0.126, 0.750)
Cd (0.625, 0.624, 0.750)

No. 20
Entry from the Alexandria database: crystalline Cd2HN2 at its relaxed geometry (GGA-PBEsol).

## Properties
Space-group type: P4/mbm
Energy in eV per formula unit: -16.7
Total moment in μB per formula unit: 0.00

Lattice parameters (Å, degrees): 3.161 6.085 6.085 90.00 90.00 90.00
Fractional positions:
H (0.000, 0.000, 0.000)
H (0.000, 0.500, 0.500)
N (0.000, 0.347, 0.847)
N (0.000, 0.847, 0.653)
N (0.000, 0.653, 0.153)
N (0.000, 0.153, 0.347)
Cd (0.500, 0.161, 0.661)
Cd (0.500, 0.661, 0.839)
Cd (0.500, 0.839, 0.339)
Cd (0.500, 0.339, 0.161)